No. 1
First-principles (GGA-PBE) data for a relaxed structure of La2Nd7DyTl2, as listed in the Alexandria database.

```
12
Lattice="3.5393 -3.4742 0.0000 3.5393 3.4742 0.0000 -0.0063 0.0000 16.2553" Properties=species:S:1:pos:R:3 pbc="T T T"
La 0.0023 0.0000 2.7059
La 7.0701 0.0000 13.5494
Nd -0.0031 0.0000 8.1276
Nd 1.7691 1.7367 5.4315
Nd 5.3033 -1.7367 10.8238
Nd 1.9587 0.0000 0.0015
Nd 1.7691 -1.7367 5.4315
Nd 5.3033 1.7367 10.8238
Nd 5.1137 0.0000 16.2538
Dy 3.5362 0.0000 8.1276
Tl 3.5279 0.0000 13.3049
Tl 3.5445 0.0000 2.9504
```

Calculated values
M_tot	0.000	μB per atom
total energy	-4.41	eV per atom
E_form	-32	meV per atom



No. 2
First-principles (GGA-PBE) data for a relaxed structure of LaNd2DyTl2, as listed in the Alexandria database.

```
12
Lattice="5.2619 0.0000 0.0000 0.0000 10.3152 0.0000 0.0000 0.0000 6.9562" Properties=species:S:1:pos:R:3 pbc="T T T"
La 0.0000 0.4593 0.0000
La 0.0000 9.8559 3.4781
Nd 0.0000 3.2834 2.6046
Nd 0.0000 7.0318 6.0827
Nd 2.6309 4.6768 0.6843
Nd 2.6309 5.6384 4.1624
Dy 2.6309 1.9754 5.0233
Dy 2.6309 8.3398 1.5452
Tl 0.0000 3.7107 5.8414
Tl 0.0000 6.6045 2.3633
Tl 2.6309 1.3441 1.8534
Tl 2.6309 8.9712 5.3315
```

Calculated values
M_tot	0.000	μB per atom
total energy	-4.24	eV per atom
E_form	-272	meV per atom



No. 3
First-principles (GGA-PBE) data for a relaxed structure of LaNd2DyTm4, as listed in the Alexandria database.

```
16
Lattice="-3.3931 5.9112 6.6146 3.3931 -5.9112 6.6146 3.3931 5.9112 -6.6146" Properties=species:S:1:pos:R:3 pbc="T T T"
La -1.6966 2.9556 3.3073
La 1.6966 2.9556 3.3073
Nd 0.0000 0.0000 0.0000
Nd 1.6966 2.9556 -3.3073
Nd 1.6966 -2.9556 3.3073
Nd 0.0000 5.9112 0.0000
Dy 3.3931 0.0000 0.0000
Dy 0.0000 0.0000 6.6146
Tm 3.3931 -0.0005 3.2896
Tm 3.3931 5.9107 -3.2896
Tm 1.7020 2.9556 0.0124
Tm 5.0842 2.9556 0.0124
Tm -1.6911 2.9556 6.6021
Tm 1.6911 2.9556 6.6021
Tm 0.0000 0.0005 9.9042
Tm 0.0000 5.9117 3.3250
```

Calculated values
M_tot	0.005	μB per atom
total energy	-4.21	eV per atom
E_form	409	meV per atom



No. 4
First-principles (GGA-PBE) data for a relaxed structure of La2Nd6DyTm3, as listed in the Alexandria database.

```
12
Lattice="3.1531 -5.4643 0.0000 3.1531 5.4643 0.0000 -2.1034 0.0000 11.7921" Properties=species:S:1:pos:R:3 pbc="T T T"
La 3.1531 3.6417 0.0000
La 3.1531 -3.6417 0.0000
Nd 0.0028 1.8147 8.7734
Nd 1.0572 0.0000 3.0185
Nd 0.0028 -1.8147 8.7734
Nd 4.2000 1.8147 3.0187
Nd 3.1456 0.0000 8.7736
Nd 4.2000 -1.8147 3.0187
Dy 3.1531 0.0000 0.0000
Tm -1.0517 0.0000 5.8961
Tm 2.1014 1.8181 5.8961
Tm 2.1014 -1.8181 5.8961
```

Calculated values
M_tot	0.000	μB per atom
total energy	-4.69	eV per atom
E_form	21	meV per atom



No. 5
First-principles (GGA-PBE) data for a relaxed structure of La2Nd6Dy3Tm, as listed in the Alexandria database.

```
12
Lattice="3.1584 -5.4723 0.0000 3.1584 5.4723 0.0000 -2.1144 0.0000 11.8595" Properties=species:S:1:pos:R:3 pbc="T T T"
La 3.1584 3.6479 0.0000
La 3.1584 -3.6479 0.0000
Nd 0.0002 1.8129 8.8478
Nd 1.0599 0.0000 3.0165
Nd 0.0002 -1.8129 8.8478
Nd 4.2022 1.8129 3.0117
Nd 3.1424 0.0000 8.8429
Nd 4.2022 -1.8129 3.0117
Dy -1.0572 0.0000 5.9297
Dy 2.1012 1.8195 5.9297
Dy 2.1012 -1.8195 5.9297
Tm 3.1584 0.0000 0.0000
```

Calculated values
M_tot	0.000	μB per atom
total energy	-4.71	eV per atom
E_form	18	meV per atom



No. 6
First-principles (GGA-PBE) data for a relaxed structure of LaNdDy4Tm2, as listed in the Alexandria database.

```
16
Lattice="7.1595 0.0000 0.0000 0.0000 10.0615 0.0000 -0.0056 0.0000 7.1656" Properties=species:S:1:pos:R:3 pbc="T T T"
La 0.0000 0.0000 0.0000
La -0.0028 0.0000 3.5828
Nd 0.0000 5.0307 0.0000
Nd 3.5797 0.0000 0.0000
Dy 1.8129 2.5600 1.8102
Dy 1.8103 2.5603 5.3585
Dy 1.8129 7.5015 1.8102
Dy 1.8103 7.5012 5.3585
Dy 5.3436 2.5603 1.8071
Dy 5.3410 2.5600 5.3555
Dy 5.3436 7.5012 1.8071
Dy 5.3410 7.5015 5.3555
Tm -0.0028 5.0307 3.5828
Tm 3.5769 0.0000 3.5828
Tm 3.5797 5.0307 0.0000
Tm 3.5769 5.0307 3.5828
```

Calculated values
M_tot	0.000	μB per atom
total energy	-4.61	eV per atom
E_form	24	meV per atom



No. 7
First-principles (GGA-PBE) data for a relaxed structure of La6NdDy2Tm, as listed in the Alexandria database.

```
20
Lattice="4.6908 -7.7080 0.0000 4.6908 7.7080 0.0000 -1.4550 0.0000 9.7502" Properties=species:S:1:pos:R:3 pbc="T T T"
La 2.3679 4.3049 1.8807
La 3.2556 4.9762 5.3763
La 3.9436 4.9762 9.2490
La 3.2295 1.6272 3.7085
La 6.2862 4.3049 2.9944
La 5.4247 1.6272 1.1666
La 2.5020 -1.6272 8.5836
La 1.6404 -4.3049 6.7558
La 4.6972 -1.6272 6.0416
La 3.9831 -4.9762 0.5012
La 4.6711 -4.9762 4.3739
La 5.5588 -4.3049 7.8695
Nd 4.3271 7.3519 2.4375
Nd 3.5996 -7.3519 7.3126
Dy 2.2414 0.7261 0.4489
Dy 1.5139 -0.7261 5.3240
Dy 6.4128 0.7261 4.4262
Dy 5.6853 -0.7261 9.3013
Tm 3.5996 1.3670 7.3126
Tm 4.3271 -1.3670 2.4375
```

Calculated values
M_tot	0.000	μB per atom
total energy	-4.69	eV per atom
E_form	106	meV per atom



No. 8
First-principles (GGA-PBE) data for a relaxed structure of LaNdDy2Tm, as listed in the Alexandria database.

```
10
Lattice="3.2249 -8.4190 0.0000 3.2249 8.4190 0.0000 0.0000 0.0000 6.4482" Properties=species:S:1:pos:R:3 pbc="T T T"
La 3.2249 5.7195 4.8362
La 3.2249 -5.7195 1.6121
Nd 3.2249 2.6272 4.8362
Nd 3.2249 -2.6272 1.6121
Dy 1.5992 0.0000 0.0000
Dy 1.5992 0.0000 3.2241
Dy 4.8506 0.0000 0.0000
Dy 4.8506 0.0000 3.2241
Tm 3.2249 4.4459 1.6121
Tm 3.2249 -4.4459 4.8362
```

Calculated values
M_tot	0.000	μB per atom
total energy	-4.32	eV per atom
E_form	354	meV per atom



No. 9
First-principles (GGA-PBE) data for a relaxed structure of LaNdDy2Tm4, as listed in the Alexandria database.

```
16
Lattice="7.1324 0.0000 0.0000 3.5634 6.1842 0.0000 0.0002 0.0052 11.4765" Properties=species:S:1:pos:R:3 pbc="T T T"
La 0.0000 0.0000 0.0000
La 5.3479 3.0921 0.0000
Nd 0.0001 0.0026 5.7383
Nd 3.5662 0.0000 0.0000
Dy 1.7817 3.0921 0.0000
Dy 1.7818 3.0947 5.7383
Dy 3.5663 0.0026 5.7383
Dy 5.3480 3.0947 5.7383
Tm 1.7828 1.0337 2.8984
Tm 3.5647 4.1231 2.8986
Tm 3.5684 2.0636 8.5823
Tm 5.3481 5.1517 8.5793
Tm 5.3479 1.0377 2.8973
Tm 7.1276 4.1258 2.8942
Tm 7.1313 2.0663 8.5779
Tm 8.9132 5.1557 8.5781
```

Calculated values
M_tot	0.000	μB per atom
total energy	-4.59	eV per atom
E_form	6	meV per atom



No. 10
First-principles (GGA-PBE) data for a relaxed structure of LaNdDyTm, as listed in the Alexandria database.

```
8
Lattice="12.4954 0.0000 0.0000 0.0000 5.9099 0.0000 -1.1365 0.0000 3.6541" Properties=species:S:1:pos:R:3 pbc="T T T"
La 0.0000 0.0000 0.0000
La 6.2477 2.9550 0.0000
Nd 2.7088 2.9550 0.6168
Nd 8.9566 0.0000 0.6168
Dy 2.3968 0.0000 2.5738
Dy 8.6446 2.9550 2.5738
Tm 5.6096 0.0000 1.6811
Tm 11.8574 2.9550 1.6811
```

Calculated values
M_tot	0.000	μB per atom
total energy	-4.59	eV per atom
E_form	99	meV per atom
energy relative to the lowest polymorph listed for this composition	4.8	meV/atom



No. 11
First-principles (GGA-PBE) data for a relaxed structure of LaNdDy2Tm5, as listed in the Alexandria database.

```
18
Lattice="-4.3931 4.3931 7.5244 4.3931 -4.3931 7.5244 4.3931 4.3931 -7.5244" Properties=species:S:1:pos:R:3 pbc="T T T"
La 0.0000 0.0000 3.7622
La 0.0000 0.0000 11.2867
Nd 4.3931 0.0000 3.7622
Nd 0.0000 4.3931 3.7622
Dy 5.4065 1.0134 0.0000
Dy 1.0134 3.3797 0.0000
Dy 3.3797 1.0134 7.5244
Dy -1.0134 3.3797 7.5244
Tm 0.0000 0.0000 0.0000
Tm 2.5983 1.7948 -1.9784
Tm 2.5983 -1.7948 5.5461
Tm 2.5983 1.7948 1.9784
Tm 2.5983 -1.7948 9.5028
Tm 0.0000 0.0000 7.5244
Tm 1.7948 6.1879 -1.9784
Tm 1.7948 2.5983 5.5461
Tm 1.7948 6.1879 1.9784
Tm 1.7948 2.5983 9.5028
```

Calculated values
M_tot	0.000	μB per atom
total energy	-4.31	eV per atom
E_form	271	meV per atom



No. 12
First-principles (GGA-PBE) data for a relaxed structure of La4Nd2DyTm2, as listed in the Alexandria database.

```
9
Lattice="7.7890 -2.6013 0.0000 7.7890 2.6013 0.0000 -2.5925 0.0000 7.6712" Properties=species:S:1:pos:R:3 pbc="T T T"
La -0.0026 0.0000 2.5130
La 2.5762 0.0000 5.1428
La 10.4093 0.0000 2.5284
La 12.9882 0.0000 5.1582
Nd 5.1864 0.0000 2.5249
Nd 7.7992 0.0000 5.1462
Dy 7.7890 0.0000 0.0000
Tm 0.0168 0.0000 7.6688
Tm 12.9688 0.0000 0.0024
```

Calculated values
M_tot	0.000	μB per atom
total energy	-4.72	eV per atom
E_form	31	meV per atom



No. 13
First-principles (GGA-PBE) data for a relaxed structure of La6Nd2DyTm, as listed in the Alexandria database.

```
20
Lattice="4.9444 -7.6844 0.0000 4.9444 7.6844 0.0000 -0.0108 0.0000 9.2925" Properties=species:S:1:pos:R:3 pbc="T T T"
La 2.4645 3.3512 7.6136
La 4.2034 5.4334 5.5104
La 5.6692 5.4334 8.4283
La 4.2088 2.2661 3.7811
La 5.6746 2.2661 0.8651
La 2.4699 -3.3512 2.9674
La 7.4081 3.3512 6.3251
La 4.2033 -2.2661 8.4274
La 5.6692 -2.2661 5.5114
La 4.2088 -5.4334 0.8642
La 5.6746 -5.4334 3.7821
La 7.4135 -3.3512 1.6789
Nd 2.4664 0.6833 0.5809
Nd 2.4610 -0.6833 5.2272
Nd 7.4170 0.6833 4.0653
Nd 7.4116 -0.6833 8.7116
Dy 4.9363 1.0446 6.9694
Dy 4.9417 -1.0446 2.3231
Tm 4.9417 6.6506 2.3231
Tm 4.9363 -6.6506 6.9694
```

Calculated values
M_tot	0.000	μB per atom
total energy	-4.70	eV per atom
E_form	113	meV per atom



No. 14
First-principles (GGA-PBE) data for a relaxed structure of La2Nd2DyTm, as listed in the Alexandria database.

```
12
Lattice="5.7501 0.0000 0.0000 0.0000 9.9931 0.0000 0.0000 0.0000 7.1248" Properties=species:S:1:pos:R:3 pbc="T T T"
La 0.0000 0.0059 0.0000
La 0.0000 9.9872 3.5624
La 2.8751 1.7594 1.7826
La 2.8751 8.2337 5.3450
Nd 0.0000 3.3216 1.7815
Nd 0.0000 6.6715 5.3439
Nd 2.8751 1.6548 5.3407
Nd 2.8751 8.3382 1.7783
Dy 2.8751 4.9944 7.1222
Dy 2.8751 4.9987 3.5598
Tm 0.0000 3.4232 5.3410
Tm 0.0000 6.5699 1.7786
```

Calculated values
M_tot	0.000	μB per atom
total energy	-4.69	eV per atom
E_form	56	meV per atom



No. 15
First-principles (GGA-PBE) data for a relaxed structure of LaNdDyTm2, as listed in the Alexandria database.

```
10
Lattice="3.2168 -8.3787 0.0000 3.2168 8.3787 0.0000 0.0000 0.0000 6.4220" Properties=species:S:1:pos:R:3 pbc="T T T"
La 3.2168 5.7117 4.8165
La 3.2168 -5.7117 1.6055
Nd 3.2168 2.6084 4.8165
Nd 3.2168 -2.6084 1.6055
Dy 3.2168 3.8164 1.6055
Dy 3.2168 -3.8164 4.8165
Tm 1.6306 0.0000 0.0000
Tm 1.6306 0.0000 3.2110
Tm 4.8030 0.0000 0.0000
Tm 4.8030 0.0000 3.2110
```

Calculated values
M_tot	0.000	μB per atom
total energy	-4.30	eV per atom
E_form	344	meV per atom



No. 16
First-principles (GGA-PBE) data for a relaxed structure of La2NdDyTm5, as listed in the Alexandria database.

```
18
Lattice="-4.2956 4.2956 7.8710 4.2956 -4.2956 7.8710 4.2956 4.2956 -7.8710" Properties=species:S:1:pos:R:3 pbc="T T T"
La 5.3104 1.0148 0.0000
La 1.0148 3.2808 0.0000
La 3.2808 1.0148 7.8710
La -1.0148 3.2808 7.8710
Nd 4.2956 0.0000 3.9355
Nd 0.0000 4.2956 3.9355
Dy 0.0000 0.0000 3.9355
Dy 0.0000 0.0000 11.8065
Tm 0.0000 0.0000 0.0000
Tm 2.4553 1.8403 -2.2304
Tm 2.4553 -1.8403 5.6406
Tm 2.4553 1.8403 2.2304
Tm 2.4553 -1.8403 10.1015
Tm 0.0000 0.0000 7.8710
Tm 1.8403 6.1360 -2.2304
Tm 1.8403 2.4553 5.6406
Tm 1.8403 6.1360 2.2304
Tm 1.8403 2.4553 10.1015
```

Calculated values
M_tot	0.000	μB per atom
total energy	-4.37	eV per atom
E_form	254	meV per atom



No. 17
First-principles (GGA-PBE) data for a relaxed structure of LaNdDyTm, as listed in the Alexandria database.

```
16
Lattice="8.1457 0.0000 0.0000 0.0000 8.1457 0.0000 0.0000 0.0000 8.1457" Properties=species:S:1:pos:R:3 pbc="T T T"
La 0.0000 0.0000 0.0000
La 0.0000 4.0728 4.0728
La 4.0728 0.0000 4.0728
La 4.0728 4.0728 0.0000
Nd 0.0000 0.0000 4.0728
Nd 0.0000 4.0728 0.0000
Nd 4.0728 0.0000 0.0000
Nd 4.0728 4.0728 4.0728
Dy 2.0364 2.0364 2.0364
Dy 2.0364 6.1093 6.1093
Dy 6.1093 2.0364 6.1093
Dy 6.1093 6.1093 2.0364
Tm 2.0364 2.0364 6.1093
Tm 2.0364 6.1093 2.0364
Tm 6.1093 2.0364 2.0364
Tm 6.1093 6.1093 6.1093
```

Calculated values
M_tot	0.000	μB per atom
total energy	-4.60	eV per atom
E_form	94	meV per atom
energy relative to the lowest polymorph listed for this composition	0.0	meV/atom



No. 18
First-principles (GGA-PBE) data for a relaxed structure of LaNdDy2Tm2, as listed in the Alexandria database.

```
12
Lattice="6.9915 0.0000 0.0000 0.0000 16.0368 0.0000 0.0000 0.0000 3.5713" Properties=species:S:1:pos:R:3 pbc="T T T"
La 0.0000 0.0000 0.0000
La 3.4958 8.0184 1.7857
Nd 0.0000 8.0184 1.7857
Nd 3.4958 0.0000 0.0000
Dy 1.7424 5.4616 0.0000
Dy 1.7534 13.4800 1.7857
Dy 5.2382 2.5568 1.7857
Dy 5.2492 10.5752 0.0000
Tm 1.7494 2.5244 1.7857
Tm 1.7464 10.5428 0.0000
Tm 5.2452 5.4940 0.0000
Tm 5.2421 13.5124 1.7857
```

Calculated values
M_tot	0.000	μB per atom
total energy	-4.46	eV per atom
E_form	180	meV per atom



No. 19
First-principles (GGA-PBE) data for a relaxed structure of LaNd2DyTm, as listed in the Alexandria database.

```
10
Lattice="8.7071 0.0000 0.0000 0.0000 6.4769 0.0000 -1.0776 0.0000 6.2453" Properties=species:S:1:pos:R:3 pbc="T T T"
La 0.0000 0.0000 0.0000
La -0.5388 0.0000 3.1226
Nd 2.5312 2.0260 1.2227
Nd 1.9924 4.4509 4.3453
Nd 5.6371 2.0260 1.9000
Nd 5.0982 4.4509 5.0226
Dy -0.8082 2.9118 4.6840
Dy -0.2694 3.5651 1.5613
Tm 3.5453 1.0806 4.6840
Tm 4.0841 5.3962 1.5613
```

Calculated values
M_tot	0.000	μB per atom
total energy	-4.43	eV per atom
E_form	280	meV per atom



No. 20
First-principles (GGA-PBE) data for a relaxed structure of LaNd3DyTm, as listed in the Alexandria database.

```
12
Lattice="8.1028 0.0000 0.0000 0.0000 5.1724 0.0000 -3.2885 0.0000 9.7767" Properties=species:S:1:pos:R:3 pbc="T T T"
La 0.4246 1.2931 2.8515
La 4.3897 3.8793 6.9252
Nd -1.2224 1.2931 7.7538
Nd -0.4039 3.8793 5.3180
Nd 1.2567 3.8793 0.4051
Nd 3.5576 1.2931 9.3716
Nd 5.2182 1.2931 4.4587
Nd 6.0367 3.8793 2.0229
Dy 1.9865 1.2931 6.1266
Dy 2.8278 3.8793 3.6502
Tm 1.1533 3.8793 8.5664
Tm 3.6610 1.2931 1.2103
```

Calculated values
M_tot	0.000	μB per atom
total energy	-4.69	eV per atom
E_form	27	meV per atom